1.
Material: SrCoWAu
Method: DFT, PBE-GGA
State: relaxed

## Properties
* ΔE to the lowest computed polymorph: 105 meV per atom
* SG: F-43m (216)

Cell: 4.6813 4.6813 4.6813 Å, 60.00 60.00 60.00°
Last column: nearest neighbours and their distance in Å.
Positions (direct):
Sr (0.0000, 0.0000, 0.0000)  4 Au 2.87, 4 W 2.87
Co (0.5000, 0.5000, 0.5000)  4 Au 2.87, 4 W 2.87
W (0.2500, 0.2500, 0.2500)  4 Co 2.87, 4 Sr 2.87
Au (0.7500, 0.7500, 0.7500)  4 Sr 2.87, 4 Co 2.87



2.
Material: BaGdCuTe3
Method: DFT, PBE-GGA
State: relaxed

## Properties
* SG: Pnma (62)

Cell: 12.5018 4.6118 12.8350 Å, 90.00 90.00 90.00°
Last column: nearest neighbours and their distance in Å.
Positions (direct):
Ba (0.1947, 0.2500, 0.0075)  3 Cu 3.51-3.92, 8 Te 3.52-3.91
Ba (0.3053, 0.7500, 0.5075)  3 Cu 3.51-3.92, 8 Te 3.52-3.91
Ba (0.6947, 0.2500, 0.4925)  3 Cu 3.51-3.92, 8 Te 3.52-3.91
Ba (0.8053, 0.7500, 0.9925)  3 Cu 3.51-3.92, 8 Te 3.52-3.91
Gd (0.0240, 0.2500, 0.3161)  7 Te 3.16-3.42
Gd (0.4760, 0.7500, 0.8161)  7 Te 3.16-3.42
Gd (0.5240, 0.2500, 0.1839)  7 Te 3.16-3.42
Gd (0.9760, 0.7500, 0.6839)  7 Te 3.16-3.42
Cu (0.2376, 0.7500, 0.2091)  4 Te 2.60-2.75
Cu (0.2624, 0.2500, 0.7091)  4 Te 2.60-2.75
Cu (0.7376, 0.7500, 0.2909)  4 Te 2.60-2.75
Cu (0.7624, 0.2500, 0.7909)  4 Te 2.60-2.75
Te (0.0390, 0.7500, 0.1483)  1 Cu 2.60
Te (0.1008, 0.2500, 0.5642)  1 Cu 2.75
Te (0.2215, 0.7500, 0.8009)  2 Cu 2.64
Te (0.2785, 0.2500, 0.3009)  2 Cu 2.64
Te (0.3992, 0.7500, 0.0642)  1 Cu 2.75
Te (0.4610, 0.2500, 0.6483)  1 Cu 2.60
Te (0.5390, 0.7500, 0.3517)  1 Cu 2.60
Te (0.6008, 0.2500, 0.9358)  1 Cu 2.75
Te (0.7215, 0.7500, 0.6991)  2 Cu 2.64
Te (0.7785, 0.2500, 0.1991)  2 Cu 2.64
Te (0.8992, 0.7500, 0.4358)  1 Cu 2.75
Te (0.9610, 0.2500, 0.8517)  1 Cu 2.60



In order of appearance, density = 12.07 6.65 Mg/m³.
In order of appearance, DFT total energy = -0.3884 -0.3295 Ry per atom.